(1)
PBE-GGA SiPdS2Cl, relaxed; polymorph energy (0 for the lowest one) = 0 meV/atom; symmetry = No. 123; uncorrected energy = -3.8050 eV/atom; D(E_F) = 5.3 states/eV/cell; magnetic moment = 0.77 μB/f.u.; ΔE_f (raw) = 338 meV per atom
1.0
4.566 0.000 0.000
0.000 4.566 0.000
0.000 0.000 4.532
Pd Cl S Si
1 1 2 1
Direct
0.500 0.500 0.500 Pd
0.000 0.000 0.500 Cl
0.000 0.500 0.000 S
0.500 0.000 0.000 S
0.000 0.000 0.000 Si

(2)
PBE-GGA SiPdSCl2, relaxed; polymorph energy (0 for the lowest one) = 0 meV/atom; symmetry = No. 123; uncorrected energy = -3.5054 eV/atom; D(E_F) = 4.3 states/eV/cell; magnetic moment = 0.96 μB/f.u.; ΔE_f (raw) = 182 meV per atom
1.0
-1.540 3.680 2.394
-3.440 0.565 -3.081
-2.742 -2.804 2.547
Si Cl S Pd
1 2 1 1
Direct
0.000 0.000 0.000 Si
0.500 0.000 0.000 Cl
0.000 0.500 0.000 Cl
0.000 0.000 0.500 S
0.500 0.500 0.500 Pd

(3)
PBE-GGA Si2PdSCl, relaxed; symmetry = No. 123; uncorrected energy = -3.5453 eV/atom; D(E_F) = 3.1 states/eV/cell; magnetic moment = 0.00 μB/f.u.; ΔE_f (raw) = 857 meV per atom
1.0
4.633 0.000 0.000
0.000 4.624 0.000
0.000 0.000 4.633
S Pd Si Cl
1 1 2 1
Direct
0.000 0.000 0.000 S
0.500 0.500 0.500 Pd
0.500 0.000 0.000 Si
0.000 0.000 0.500 Si
0.000 0.500 0.000 Cl

(4)
PBE-GGA SnPdSCl2, relaxed; polymorph energy (0 for the lowest one) = 0 meV/atom; symmetry = No. 123; uncorrected energy = -3.6604 eV/atom; D(E_F) = 0.6 states/eV/cell; magnetic moment = 0.00 μB/f.u.; ΔE_f (raw) = -257 meV per atom
1.0
4.801 0.000 0.000
0.000 4.801 0.000
0.000 0.000 4.923
Cl S Sn Pd
2 1 1 1
Direct
0.500 0.000 0.000 Cl
0.000 0.500 0.000 Cl
0.000 0.000 0.500 S
0.500 0.500 0.500 Sn
0.000 0.000 0.000 Pd

(5)
PBE-GGA SrPdSCl2, relaxed; polymorph energy (0 for the lowest one) = 767 meV/atom; symmetry = No. 123; uncorrected energy = -3.3015 eV/atom; D(E_F) = 7.1 states/eV/cell; magnetic moment = 2.02 μB/f.u.; ΔE_f (raw) = -362 meV per atom
1.0
-4.881 1.546 -2.093
1.792 -1.228 -5.086
-2.017 -5.527 0.623
Sr Cl Pd S
1 2 1 1
Direct
0.000 0.000 0.000 Sr
0.000 0.500 0.000 Cl
0.500 0.000 0.000 Cl
0.500 0.500 0.500 Pd
0.000 0.000 0.500 S

(6)
PBE-GGA SrPdS2Cl, relaxed; polymorph energy (0 for the lowest one) = 0 meV/atom; symmetry = No. 123; uncorrected energy = -4.2871 eV/atom; D(E_F) = 4.3 states/eV/cell; magnetic moment = 0.00 μB/f.u.; ΔE_f (raw) = -892 meV per atom
1.0
4.802 0.000 0.000
0.000 4.802 0.000
0.000 0.000 4.898
Sr S Cl Pd
1 2 1 1
Direct
0.500 0.500 0.500 Sr
0.000 0.500 0.000 S
0.500 0.000 0.000 S
0.000 0.000 0.500 Cl
0.000 0.000 0.000 Pd

(7)
PBE-GGA SrPdSCl2, relaxed; polymorph energy (0 for the lowest one) = 0 meV/atom; symmetry = No. 123; uncorrected energy = -4.0680 eV/atom; D(E_F) = 0.5 states/eV/cell; magnetic moment = 0.00 μB/f.u.; ΔE_f (raw) = -1129 meV per atom
1.0
-0.763 -2.338 4.188
-3.901 -2.166 -1.920
2.843 -3.733 -1.566
Cl Sr S Pd
2 1 1 1
Direct
0.500 0.000 0.000 Cl
0.000 0.500 0.000 Cl
0.500 0.500 0.500 Sr
0.000 0.000 0.500 S
0.000 0.000 0.000 Pd

(8)
PBE-GGA SrPdS2Cl, relaxed; polymorph energy (0 for the lowest one) = 1066 meV/atom; symmetry = No. 123; uncorrected energy = -3.2212 eV/atom; D(E_F) = 8.1 states/eV/cell; magnetic moment = 3.03 μB/f.u.; ΔE_f (raw) = 174 meV per atom
1.0
-5.251 1.693 -1.583
-2.057 -5.210 1.253
-1.017 1.633 5.122
S Pd Cl Sr
2 1 1 1
Direct
0.000 0.500 0.000 S
0.500 0.000 0.000 S
0.500 0.500 0.500 Pd
0.000 0.000 0.500 Cl
0.000 0.000 0.000 Sr

(9)
PBE-GGA TcPdSCl2, relaxed; polymorph energy (0 for the lowest one) = 285 meV/atom; symmetry = No. 123; uncorrected energy = -4.1065 eV/atom; D(E_F) = 1.0 states/eV/cell; magnetic moment = 5.03 μB/f.u.; ΔE_f (raw) = 569 meV per atom
1.0
4.762 0.000 0.000
0.000 4.762 0.000
0.000 0.000 4.889
S Cl Pd Tc
1 2 1 1
Direct
0.000 0.000 0.500 S
0.500 0.000 0.000 Cl
0.000 0.500 0.000 Cl
0.000 0.000 0.000 Pd
0.500 0.500 0.500 Tc

(10)
PBE-GGA TcPdSCl2, relaxed; polymorph energy (0 for the lowest one) = 0 meV/atom; symmetry = No. 123; uncorrected energy = -4.3913 eV/atom; D(E_F) = 9.4 states/eV/cell; magnetic moment = 0.96 μB/f.u.; ΔE_f (raw) = 285 meV per atom
1.0
4.891 0.000 0.000
0.000 4.891 0.000
0.000 0.000 4.475
Pd Cl S Tc
1 2 1 1
Direct
0.500 0.500 0.500 Pd
0.500 0.000 0.000 Cl
0.000 0.500 0.000 Cl
0.000 0.000 0.500 S
0.000 0.000 0.000 Tc

(11)
PBE-GGA TePdSCl2, relaxed; polymorph energy (0 for the lowest one) = 279 meV/atom; symmetry = No. 123; uncorrected energy = -2.7957 eV/atom; D(E_F) = 8.8 states/eV/cell; magnetic moment = 0.64 μB/f.u.; ΔE_f (raw) = 435 meV per atom
1.0
5.265 0.000 0.000
0.000 5.265 0.000
0.000 0.000 5.105
S Pd Cl Te
1 1 2 1
Direct
0.000 0.000 0.500 S
0.500 0.500 0.500 Pd
0.000 0.500 0.000 Cl
0.500 0.000 0.000 Cl
0.000 0.000 0.000 Te

(12)
PBE-GGA TePdSCl2, relaxed; polymorph energy (0 for the lowest one) = 0 meV/atom; symmetry = No. 123; uncorrected energy = -3.0743 eV/atom; D(E_F) = 4.2 states/eV/cell; magnetic moment = 0.00 μB/f.u.; ΔE_f (raw) = 157 meV per atom
1.0
-0.330 -3.853 -2.797
4.299 -1.446 1.485
-2.096 -2.475 3.657
Te Cl Pd S
1 2 1 1
Direct
0.500 0.500 0.500 Te
0.500 0.000 0.000 Cl
0.000 0.500 0.000 Cl
0.000 0.000 0.000 Pd
0.000 0.000 0.500 S